A relaxed structure of NiIrPt2, computed with PBE-GGA.

Summary:
Size of the total moment: 0.305 μB per formula unit
Formation enthalpy at 0 K: 0.24 kcal/mol of atoms
Excess energy over the best structure of this formula in the dataset: 35 meV/atom

Unit cell a=8.924 b=8.924 c=8.924 alpha=17.70 beta=17.70 gamma=17.70
Sites, in units of the cell vectors:
Ni  0.000  0.000  0.000
Ir  0.500  0.500  0.500
Pt  0.254  0.254  0.254
Pt  0.746  0.746  0.746

***

A relaxed structure of Sr2PdI6, computed with PBE-GGA.

Summary:
Size of the total moment: 0.000 μB per formula unit
Formation energy without anion corrections: -102.85 kJ/mol of atoms

Unit cell a=7.921 b=7.921 c=13.536 alpha=90.00 beta=90.00 gamma=90.00
Sites, in units of the cell vectors:
Sr  0.000  0.000  0.164
Sr  0.000  0.000  0.836
Sr  0.500  0.500  0.336
Sr  0.500  0.500  0.664
Pd  0.000  0.000  0.500
Pd  0.500  0.500  0.000
I  0.172  0.172  0.360
I  0.172  0.172  0.640
I  0.200  0.200  0.000
I  0.300  0.700  0.500
I  0.328  0.672  0.140
I  0.328  0.672  0.860
I  0.672  0.328  0.140
I  0.672  0.328  0.860
I  0.700  0.300  0.500
I  0.800  0.800  0.000
I  0.828  0.828  0.360
I  0.828  0.828  0.640

***

A relaxed structure of Co2AsRh, computed with PBE-GGA.

Summary:
Size of the total moment: 3.188 μB per formula unit
Formation enthalpy at 0 K: 3.05 kcal/mol of atoms

Unit cell a=7.973 b=7.973 c=7.973 alpha=20.20 beta=20.20 gamma=20.20
Sites, in units of the cell vectors:
Co  0.000  0.000  0.000
Co  0.254  0.254  0.254
As  0.508  0.508  0.508
Rh  0.756  0.756  0.756

***

A relaxed structure of Tb8Nd6Pu, computed with PBE-GGA.

Summary:
Size of the total moment: 6.409 μB per formula unit
Formation enthalpy at 0 K: 2.63 kcal/mol of atoms

Unit cell a=8.682 b=8.682 c=8.682 alpha=63.53 beta=63.53 gamma=63.53
Sites, in units of the cell vectors:
Tb  0.076  0.076  0.076
Tb  0.216  0.253  0.611
Tb  0.253  0.611  0.216
Tb  0.389  0.784  0.747
Tb  0.611  0.216  0.253
Tb  0.747  0.389  0.784
Tb  0.784  0.747  0.389
Tb  0.924  0.924  0.924
Nd  0.045  0.725  0.606
Nd  0.275  0.394  0.955
Nd  0.394  0.955  0.275
Nd  0.606  0.045  0.725
Nd  0.725  0.606  0.045
Nd  0.955  0.275  0.394
Pu  0.500  0.500  0.500

***

A relaxed structure of LaCuO2, computed with PBE-GGA.

Summary:
Size of the total moment: 0.000 μB per formula unit
Formation energy without anion corrections: -82.27 kJ/mol of atoms

Unit cell a=6.495 b=6.495 c=6.495 alpha=29.97 beta=29.97 gamma=29.97
Sites, in units of the cell vectors:
La  0.000  0.000  0.000
Cu  0.500  0.500  0.500
O  0.116  0.116  0.116
O  0.884  0.884  0.884

***

A relaxed structure of B3IN3, computed with PBE-GGA.

Summary:
Size of the total moment: 0.000 μB per formula unit
Formation energy without anion corrections: 56.88 kJ/mol of atoms

Unit cell a=4.924 b=4.924 c=4.924 alpha=90.00 beta=90.00 gamma=90.00
Sites, in units of the cell vectors:
B  0.000  0.250  0.500
B  0.000  0.750  0.500
B  0.250  0.500  0.000
B  0.500  0.000  0.250
B  0.500  0.000  0.750
B  0.750  0.500  0.000
I  0.000  0.000  0.000
I  0.500  0.500  0.500
N  0.000  0.500  0.250
N  0.000  0.500  0.750
N  0.250  0.000  0.500
N  0.500  0.250  0.000
N  0.500  0.750  0.000
N  0.750  0.000  0.500

***

A relaxed structure of VCrSi, computed with PBE-GGA.

Summary:
Size of the total moment: 0.000 μB per formula unit
Formation energy without anion corrections: -22.93 kJ/mol of atoms

Unit cell a=7.495 b=4.862 c=4.862 alpha=58.45 beta=90.00 gamma=90.00
Sites, in units of the cell vectors:
V  0.184  0.000  0.000
V  0.313  0.667  0.667
V  0.687  0.667  0.667
V  0.816  0.000  0.000
Cr  0.000  0.506  0.998
Cr  0.000  0.998  0.506
Cr  0.250  0.330  0.330
Cr  0.750  0.330  0.330
Si  0.000  0.509  0.509
Si  0.500  0.160  0.160
Si  0.500  0.160  0.674
Si  0.500  0.674  0.160

***

A relaxed structure of VHgS2, computed with PBE-GGA.

Summary:
Size of the total moment: 0.349 μB per formula unit
Formation energy without anion corrections: -61.87 kJ/mol of atoms

Unit cell a=3.188 b=3.188 c=9.348 alpha=90.00 beta=90.00 gamma=120.00
Sites, in units of the cell vectors:
V  0.000  0.000  0.000
Hg  0.333  0.667  0.495
S  0.333  0.667  0.843
S  0.667  0.333  0.157

***

A relaxed structure of CsOs3Se, computed with PBE-GGA.

Summary:
Size of the total moment: 1.416 μB per formula unit
Formation energy without anion corrections: 204.98 kJ/mol of atoms
Excess energy over the best structure of this formula in the dataset: 0 meV/atom

Unit cell a=4.767 b=4.767 c=4.767 alpha=90.00 beta=90.00 gamma=90.00
Sites, in units of the cell vectors:
Cs  0.000  0.000  0.000
Os  0.000  0.500  0.500
Os  0.500  0.000  0.500
Os  0.500  0.500  0.000
Se  0.500  0.500  0.500

***

A relaxed structure of TlHIr3, computed with PBE-GGA.

Summary:
Size of the total moment: 3.278 μB per formula unit
Excess energy over the best structure of this formula in the dataset: 2589 meV/atom

Unit cell a=5.054 b=5.054 c=5.054 alpha=90.00 beta=90.00 gamma=90.00
Sites, in units of the cell vectors:
Tl  0.000  0.000  0.000
H  0.500  0.500  0.500
Ir  0.000  0.000  0.500
Ir  0.000  0.500  0.000
Ir  0.500  0.000  0.000

***

A relaxed structure of K2DyYS4, computed with PBE-GGA.

Summary:
Size of the total moment: 0.000 μB per formula unit
Formation energy without anion corrections: -182.50 kJ/mol of atoms

Unit cell a=7.022 b=4.054 c=7.734 alpha=90.00 beta=107.60 gamma=90.00
Sites, in units of the cell vectors:
K  0.000  0.000  0.000
K  0.500  0.500  0.000
Dy  0.000  0.500  0.500
Y  0.500  0.000  0.500
S  0.233  0.000  0.702
S  0.266  0.500  0.298
S  0.734  0.500  0.702
S  0.767  0.000  0.298

***

A relaxed structure of Ac2AlSn3, computed with PBE-GGA.

Summary:
Size of the total moment: 0.000 μB per formula unit
Formation enthalpy at 0 K: -11.85 kcal/mol of atoms

Unit cell a=4.513 b=4.707 c=8.806 alpha=90.00 beta=90.00 gamma=90.00
Sites, in units of the cell vectors:
Ac  0.000  0.000  0.000
Ac  0.000  0.500  0.488
Al  0.500  0.000  0.326
Sn  0.500  0.000  0.637
Sn  0.500  0.500  0.177
Sn  0.500  0.500  0.833